1.
# NaZn4Pt2 | Alexandria | PBE-GGA | optimized geometry
# - Density: 7558 kg/m³
# - Energy of formation from the pure elements: 351.4 meV per atom
# - Offset from the most stable computed form: 707 meV/atom
# - M_tot: 0.00 μB/cell
data_NaZn4Pt2
_cell_length_a 4.710
_cell_length_b 4.710
_cell_length_c 13.367
_cell_angle_alpha 90.00
_cell_angle_beta 90.00
_cell_angle_gamma 90.00
_symmetry_space_group_name_H-M 'I 4/m m m'
_symmetry_Int_Tables_number 139
_symmetry_space_group_name_Hall '-I 4 2'
loop_
_atom_site_label
_atom_site_fract_x
_atom_site_fract_y
_atom_site_fract_z
Na1 0.000 0.000 0.000
Zn1 0.000 0.000 0.218
Zn2 0.000 0.500 0.000
Pt1 0.000 0.000 0.402

***

2.
# Li2Tl4Cd | Alexandria | PBE-GGA | optimized geometry
# - Density: 8659 kg/m³
# - Energy of formation from the pure elements: -55.3 meV per atom
# - M_tot: 0.00 μB/cell
data_Li2Tl4Cd
_cell_length_a 7.101
_cell_length_b 7.101
_cell_length_c 7.179
_cell_angle_alpha 90.00
_cell_angle_beta 90.00
_cell_angle_gamma 90.00
_symmetry_space_group_name_H-M 'I 4/m m m'
_symmetry_Int_Tables_number 139
_symmetry_space_group_name_Hall '-I 4 2'
loop_
_atom_site_label
_atom_site_fract_x
_atom_site_fract_y
_atom_site_fract_z
Li1 0.000 0.500 0.000
Tl1 0.250 0.250 0.250
Cd1 0.000 0.000 0.000

***

3.
# Rb2CePa3O12 | Alexandria | PBE-GGA | optimized geometry
# - Density: 5145 kg/m³
# - M_tot: 8.20 μB/cell
# - Formation energy from raw total energies: -64.64 kcal/mol of atoms
data_Rb2CePa3O12
_cell_length_a 8.2159
_cell_length_b 8.2159
_cell_length_c 19.8111
_cell_angle_alpha 90.00
_cell_angle_beta 90.00
_cell_angle_gamma 120.00
_symmetry_space_group_name_H-M 'R -3 m'
_symmetry_Int_Tables_number 166
_symmetry_space_group_name_Hall '-R 3 2"'
loop_
_atom_site_label
_atom_site_fract_x
_atom_site_fract_y
_atom_site_fract_z
Rb1 0.0000 0.0000 0.1663
Ce1 0.0000 0.0000 0.5000
Pa1 0.0000 0.5000 0.0000
O1 0.0723 0.5362 0.1030
O2 0.0941 0.5470 0.3577

***

4.
# MgP2Ru | Alexandria | PBE-GGA | optimized geometry
# - Density: 5094 kg/m³
# - Energy of formation from the pure elements: -53.2 meV per atom
# - M_tot: 0.00 μB/cell
data_MgP2Ru
_cell_length_a 3.0555
_cell_length_b 3.0555
_cell_length_c 22.6575
_cell_angle_alpha 90.00
_cell_angle_beta 90.00
_cell_angle_gamma 120.00
_symmetry_space_group_name_H-M 'R 3 m'
_symmetry_Int_Tables_number 160
_symmetry_space_group_name_Hall 'R 3 -2"'
loop_
_atom_site_label
_atom_site_fract_x
_atom_site_fract_y
_atom_site_fract_z
Mg1 0.0000 0.0000 0.0000
P1 0.0000 0.0000 0.2397
P2 0.0000 0.0000 0.4968
Ru1 0.0000 0.0000 0.7630

***

5.
# NaCd2Cu2 | Alexandria | PBE-GGA | optimized geometry
# - Density: 5880 kg/m³
# - Energy of formation from the pure elements: 130.2 meV per atom
# - Offset from the most stable computed form: 101 meV/atom
# - M_tot: 0.00 μB/cell
data_NaCd2Cu2
_cell_length_a 4.353
_cell_length_b 4.353
_cell_length_c 11.175
_cell_angle_alpha 90.00
_cell_angle_beta 90.00
_cell_angle_gamma 90.00
_symmetry_space_group_name_H-M 'I 4/m m m'
_symmetry_Int_Tables_number 139
_symmetry_space_group_name_Hall '-I 4 2'
loop_
_atom_site_label
_atom_site_fract_x
_atom_site_fract_y
_atom_site_fract_z
Na1 0.000 0.000 0.000
Cd1 0.000 0.500 0.250
Cu1 0.000 0.000 0.395

***

6.
# TlPbSeBr2 | Alexandria | PBE-GGA | optimized geometry
# - Density: 5712 kg/m³
# - Offset from the most stable computed form: 0 meV/atom
# - M_tot: 0.00 μB/cell
# - Formation energy from raw total energies: -10.14 kcal/mol of atoms
data_TlPbSeBr2
_cell_length_a 5.885
_cell_length_b 5.885
_cell_length_c 5.459
_cell_angle_alpha 90.00
_cell_angle_beta 90.00
_cell_angle_gamma 90.00
_symmetry_space_group_name_H-M 'P 4/m m m'
_symmetry_Int_Tables_number 123
_symmetry_space_group_name_Hall '-P 4 2'
loop_
_atom_site_label
_atom_site_fract_x
_atom_site_fract_y
_atom_site_fract_z
Tl1 0.000 0.000 0.000
Pb1 0.500 0.500 0.500
Se1 0.500 0.500 0.000
Br1 0.000 0.500 0.500

***

7.
# LiPuGa2 | Alexandria | PBE-GGA | optimized geometry
# - Density: 8137 kg/m³
# - Energy of formation from the pure elements: -236.2 meV per atom
# - Offset from the most stable computed form: 84 meV/atom
# - M_tot: 5.17 μB/cell
data_LiPuGa2
_cell_length_a 5.273
_cell_length_b 5.273
_cell_length_c 2.865
_cell_angle_alpha 90.00
_cell_angle_beta 90.00
_cell_angle_gamma 90.00
_symmetry_space_group_name_H-M 'P 4/m m m'
_symmetry_Int_Tables_number 123
_symmetry_space_group_name_Hall '-P 4 2'
loop_
_atom_site_label
_atom_site_fract_x
_atom_site_fract_y
_atom_site_fract_z
Li1 0.000 0.000 0.000
Pu1 0.500 0.500 0.000
Ga1 0.000 0.500 0.500

***

8.
# CuAgRh2 | Alexandria | PBE-GGA | optimized geometry
# - Density: 10607 kg/m³
# - Energy of formation from the pure elements: 277.2 meV per atom
# - Offset from the most stable computed form: 166 meV/atom
# - M_tot: 2.83 μB/cell
data_CuAgRh2
_cell_length_a 3.797
_cell_length_b 3.797
_cell_length_c 8.193
_cell_angle_alpha 90.00
_cell_angle_beta 90.00
_cell_angle_gamma 90.00
_symmetry_space_group_name_H-M 'I 4/m m m'
_symmetry_Int_Tables_number 139
_symmetry_space_group_name_Hall '-I 4 2'
loop_
_atom_site_label
_atom_site_fract_x
_atom_site_fract_y
_atom_site_fract_z
Cu1 0.000 0.000 0.000
Ag1 0.000 0.000 0.500
Rh1 0.000 0.500 0.250

***

9.
# BaAcAu | Alexandria | PBE-GGA | optimized geometry
# - Density: 6848 kg/m³
# - Energy of formation from the pure elements: -418.7 meV per atom
# - Offset from the most stable computed form: 68 meV/atom
# - M_tot: 0.00 μB/cell
data_BaAcAu
_cell_length_a 4.5966
_cell_length_b 4.5966
_cell_length_c 7.4377
_cell_angle_alpha 90.00
_cell_angle_beta 90.00
_cell_angle_gamma 120.00
_symmetry_space_group_name_H-M 'P 3 m 1'
_symmetry_Int_Tables_number 156
loop_
_symmetry_equiv_pos_as_xyz
'x,y,z'
'-y,x-y,z'
'-x+y,-x,z'
'-y,-x,z'
'-x+y,y,z'
'x,x-y,z'
loop_
_atom_site_label
_atom_site_fract_x
_atom_site_fract_y
_atom_site_fract_z
Ba1 0.0000 0.0000 0.0000
Ac1 0.6667 0.3333 0.4930
Au1 0.3333 0.6667 0.2741

***

10.
# Nb2CrHRh | Alexandria | PBE-GGA | optimized geometry
# - Density: 8641 kg/m³
# - Offset from the most stable computed form: 50 meV/atom
# - M_tot: 0.01 μB/cell
data_Nb2CrHRh
_cell_length_a 4.317
_cell_length_b 4.317
_cell_length_c 3.524
_cell_angle_alpha 90.00
_cell_angle_beta 90.00
_cell_angle_gamma 90.00
_symmetry_space_group_name_H-M 'P 4/m m m'
_symmetry_Int_Tables_number 123
_symmetry_space_group_name_Hall '-P 4 2'
loop_
_atom_site_label
_atom_site_fract_x
_atom_site_fract_y
_atom_site_fract_z
Nb1 0.000 0.500 0.000
Cr1 0.000 0.000 0.500
H1 0.500 0.500 0.000
Rh1 0.500 0.500 0.500

***

11.
# LaHo2Tm8 | Alexandria | PBE-GGA | optimized geometry
# - Density: 8642 kg/m³
# - Energy of formation from the pure elements: 180.9 meV per atom
# - Offset from the most stable computed form: 57 meV/atom
# - M_tot: 0.00 μB/cell
data_LaHo2Tm8
_cell_length_a 16.738
_cell_length_b 6.489
_cell_length_c 6.657
_cell_angle_alpha 90.00
_cell_angle_beta 104.66
_cell_angle_gamma 90.00
_symmetry_space_group_name_H-M 'C 1 2/m 1'
_symmetry_Int_Tables_number 12
loop_
_symmetry_equiv_pos_as_xyz
'x,y,z'
'-x,-y,-z'
'-x,y,-z'
'x,-y,z'
'x+1/2,y+1/2,z'
'-x+1/2,-y+1/2,-z'
'-x+1/2,y+1/2,-z'
'x+1/2,-y+1/2,z'
loop_
_atom_site_label
_atom_site_fract_x
_atom_site_fract_y
_atom_site_fract_z
La1 0.000 0.000 0.000
Ho1 0.244 0.500 0.081
Tm1 0.073 0.500 0.214
Tm2 0.096 0.259 0.675
Tm3 0.212 0.000 0.377

***

12.
# NaAu | Alexandria | PBE-GGA | optimized geometry
# - Density: 8296 kg/m³
# - Energy of formation from the pure elements: -297.8 meV per atom
# - M_tot: 0.00 μB/cell
data_NaAu
_cell_length_a 11.223
_cell_length_b 4.916
_cell_length_c 6.383
_cell_angle_alpha 90.00
_cell_angle_beta 90.00
_cell_angle_gamma 90.00
_symmetry_space_group_name_H-M 'P n m a'
_symmetry_Int_Tables_number 62
loop_
_symmetry_equiv_pos_as_xyz
'x,y,z'
'-x,-y,-z'
'-x+1/2,-y,z+1/2'
'x+1/2,y,-z+1/2'
'x+1/2,-y+1/2,-z+1/2'
'-x+1/2,y+1/2,z+1/2'
'-x,y+1/2,-z'
'x,-y+1/2,z'
loop_
_atom_site_label
_atom_site_fract_x
_atom_site_fract_y
_atom_site_fract_z
Na1 0.069 0.250 0.174
Na2 0.149 0.750 0.449
Au1 0.114 0.250 0.712
Au2 0.187 0.750 0.931

***

What are the VASP energy values for these records? In order: -2.291; -2.085; -8.128; -5.476; -2.138; -3.021; -5.811; -5.135; -3.522; -8.148; -4.351; -2.596 eV per atom.